1.
Entry from Alexandria via LeMat-Bulk: crystalline Nd3CdSn3 at its relaxed geometry (GGA-PBE).

Cell lengths 6.3817, 6.3817, 15.3045 Å; angles 107.10, 107.10, 43.06 degrees
With the nearest neighbours (Å) after each atom.
Element x y z (fractional)
Nd: 0.0180 0.0180 0.3767  6 Sn 3.27-3.45, 3 Cd 3.38-3.50
Nd: 0.1031 0.1031 0.9224  7 Sn 3.23-3.56
Nd: 0.2338 0.2338 0.2252  6 Sn 3.26-3.56, 2 Cd 3.39
Nd: 0.7662 0.7662 0.7748  6 Sn 3.26-3.56, 2 Cd 3.39
Nd: 0.8969 0.8969 0.0776  7 Sn 3.23-3.56
Nd: 0.9820 0.9820 0.6233  6 Sn 3.27-3.45, 3 Cd 3.38-3.50
Cd: 0.2736 0.2736 0.6161  4 Sn 2.87-3.02
Cd: 0.7264 0.7264 0.3839  4 Sn 2.87-3.02
Sn: 0.3658 0.3658 0.4535  3 Cd 2.87-3.02, 1 Sn 3.05
Sn: 0.3786 0.3786 0.9251  2 Sn 3.01-3.06, 5 Nd 3.26
Sn: 0.4921 0.4921 0.7749  1 Cd 2.94, 1 Sn 3.01, 5 Nd 3.23-3.27
Sn: 0.5079 0.5079 0.2251  1 Cd 2.94, 1 Sn 3.01, 5 Nd 3.23-3.27
Sn: 0.6214 0.6214 0.0749  2 Sn 3.01-3.06, 5 Nd 3.26
Sn: 0.6342 0.6342 0.5465  3 Cd 2.87-3.02, 1 Sn 3.05

Computed properties:
The calculation puts the total energy at -4.5570 eV/atom. The total magnetization is 0.00 μB/cell. Its formation energy from the elements is -0.67 eV per atom. Its excess energy over the best structure of this formula in the dataset is 0 meV per atom. Its space-group type is C2/m.

---

2.
Entry from Alexandria via LeMat-Bulk: crystalline Rb3NpRh2S6 at its relaxed geometry (GGA-PBE).

Cell lengths 6.5033, 6.5033, 7.9259 Å; angles 97.93, 97.93, 120.00 degrees
With the nearest neighbours (Å) after each atom.
Element x y z (fractional)
Rb: 0.0000 0.0000 0.0000  6 S 3.18-3.34
Rb: 0.3385 0.6615 0.0000  6 S 3.19-3.35
Rb: 0.6615 0.3385 0.0000  6 S 3.19-3.35
Np: 0.5000 0.5000 0.5000  6 S 2.70-2.71
Rh: 0.1667 0.8333 0.5000  6 S 2.48
Rh: 0.8333 0.1667 0.5000  6 S 2.48
S: 0.0799 0.4406 0.3228  2 Rh 2.48, 1 Np 2.71
S: 0.1979 0.1979 0.6753  2 Rh 2.48, 1 Np 2.70
S: 0.4406 0.0799 0.3228  2 Rh 2.48, 1 Np 2.71
S: 0.5594 0.9201 0.6772  2 Rh 2.48, 1 Np 2.71
S: 0.8021 0.8021 0.3247  2 Rh 2.48, 1 Np 2.70
S: 0.9201 0.5594 0.6772  2 Rh 2.48, 1 Np 2.71

Computed properties:
Its uncorrected formation energy is -0.884 eV per atom. The calculation puts the total energy at -5.4932 eV/atom. The total magnetization is 3.95 μB/cell. Its space-group type is C2/m.

---

3.
Entry from Alexandria via LeMat-Bulk: crystalline Zn2GaRh3 at its relaxed geometry (GGA-PBE).

Cell lengths 3.0259, 3.0259, 9.0587 Å; angles 90.00, 90.00, 90.00 degrees
With the nearest neighbours (Å) after each atom.
Element x y z (fractional)
Zn: 0.0000 0.0000 0.1640  8 Rh 2.60-2.65
Zn: 0.0000 0.0000 0.8360  8 Rh 2.60-2.65
Ga: 0.0000 0.0000 0.5000  8 Rh 2.60
Rh: 0.5000 0.5000 0.0000  8 Zn 2.60
Rh: 0.5000 0.5000 0.3373  4 Ga 2.60, 4 Zn 2.65
Rh: 0.5000 0.5000 0.6627  4 Ga 2.60, 4 Zn 2.65

Computed properties:
The calculation puts the total energy at -5.1422 eV/atom. The total magnetization is 0.00 μB/cell. Its formation energy from the elements is -0.54 eV per atom. Its excess energy over the best structure of this formula in the dataset is 7 meV per atom. Its space-group type is P4/mmm.

---

4.
Entry from Alexandria via LeMat-Bulk: crystalline KAc2RuO5 at its relaxed geometry (GGA-PBE).

Cell lengths 7.2680, 7.2680, 5.9461 Å; angles 90.00, 90.00, 90.00 degrees
With the nearest neighbours (Å) after each atom.
Element x y z (fractional)
K: 0.0000 0.0000 0.0000  10 O 2.97-3.20
K: 0.5000 0.5000 0.0000  10 O 2.97-3.20
Ac: 0.1807 0.3193 0.5000  8 O 2.48-2.75
Ac: 0.3193 0.8193 0.5000  8 O 2.48-2.75
Ac: 0.6807 0.1807 0.5000  8 O 2.48-2.75
Ac: 0.8193 0.6807 0.5000  8 O 2.48-2.75
Ru: 0.0000 0.5000 0.0000  4 O 1.96
Ru: 0.5000 0.0000 0.0000  4 O 1.96
O: 0.0000 0.0000 0.5000  4 Ac 2.67, 2 K 2.97
O: 0.1293 0.6293 0.2426  1 Ru 1.96
O: 0.1293 0.6293 0.7574  1 Ru 1.96
O: 0.3707 0.1293 0.2426  1 Ru 1.96
O: 0.3707 0.1293 0.7574  1 Ru 1.96
O: 0.5000 0.5000 0.5000  4 Ac 2.67, 2 K 2.97
O: 0.6293 0.8707 0.2426  1 Ru 1.96
O: 0.6293 0.8707 0.7574  1 Ru 1.96
O: 0.8707 0.3707 0.2426  1 Ru 1.96
O: 0.8707 0.3707 0.7574  1 Ru 1.96

Computed properties:
Its uncorrected formation energy is -2.305 eV per atom. The calculation puts the total energy at -7.1248 eV/atom. The total magnetization is 6.00 μB/cell. Its space-group type is P4/mbm.

---

5.
Entry from Alexandria via LeMat-Bulk: crystalline Dy4Sc at its relaxed geometry (GGA-PBE).

Cell lengths 5.3761, 16.3068, 3.4534 Å; angles 90.00, 90.00, 90.00 degrees
With the nearest neighbours (Å) after each atom.
Element x y z (fractional)
Dy: 0.0000 0.1072 0.0000  9 Dy 3.45-3.64, 4 Sc 3.64
Dy: 0.0000 0.3036 0.5000  1 Sc 3.20, 8 Dy 3.21-3.51
Dy: 0.0000 0.6964 0.5000  1 Sc 3.20, 8 Dy 3.21-3.51
Dy: 0.0000 0.8928 0.0000  9 Dy 3.45-3.64, 4 Sc 3.64
Dy: 0.5000 0.1965 0.5000  1 Sc 3.20, 8 Dy 3.21-3.51
Dy: 0.5000 0.3928 0.0000  9 Dy 3.45-3.64, 4 Sc 3.64
Dy: 0.5000 0.6072 0.0000  9 Dy 3.45-3.64, 4 Sc 3.64
Dy: 0.5000 0.8036 0.5000  1 Sc 3.20, 8 Dy 3.21-3.51
Sc: 0.0000 0.5000 0.5000  2 Dy 3.20, 2 Sc 3.45
Sc: 0.5000 0.0000 0.5000  2 Dy 3.20, 2 Sc 3.45

Computed properties:
The calculation puts the total energy at -4.8706 eV/atom. The total magnetization is 0.39 μB/cell. Its formation energy from the elements is 0.08 eV per atom. Its excess energy over the best structure of this formula in the dataset is 39 meV per atom. Its space-group type is Cmmm.

---

6.
Entry from Alexandria via LeMat-Bulk: crystalline V2ZnOs at its relaxed geometry (GGA-PBE).

Cell lengths 2.9013, 2.9013, 6.6680 Å; angles 90.00, 90.00, 90.00 degrees
With the nearest neighbours (Å) after each atom.
Element x y z (fractional)
V: 0.0000 0.0000 0.2382  4 Os 2.59, 4 Zn 2.69, 4 V 2.90
V: 0.0000 0.0000 0.7618  4 Os 2.59, 4 Zn 2.69, 4 V 2.90
Zn: 0.5000 0.5000 0.5000  8 V 2.69, 4 Zn 2.90
Os: 0.5000 0.5000 0.0000  8 V 2.59, 4 Os 2.90

Computed properties:
The calculation puts the total energy at -7.7499 eV/atom. The total magnetization is 0.00 μB/cell. Its formation energy from the elements is -0.06 eV per atom. Its space-group type is P4/mmm.

---

7.
Entry from Alexandria via LeMat-Bulk: crystalline Ac5Pr4Cd at its relaxed geometry (GGA-PBE).

Cell lengths 4.4185, 4.4185, 20.0225 Å; angles 90.00, 90.00, 90.00 degrees
With the nearest neighbours (Å) after each atom.
Element x y z (fractional)
Ac: 0.0000 0.0000 0.0000  8 Pr 3.73, 2 Ac 3.97
Ac: 0.0000 0.0000 0.1982  8 Pr 3.68-3.70, 1 Ac 3.97
Ac: 0.0000 0.0000 0.4082  4 Cd 3.63, 1 Ac 3.68, 4 Pr 3.83
Ac: 0.0000 0.0000 0.5918  4 Cd 3.63, 1 Ac 3.68, 4 Pr 3.83
Ac: 0.0000 0.0000 0.8018  8 Pr 3.68-3.70, 1 Ac 3.97
Pr: 0.5000 0.5000 0.1014  8 Ac 3.68-3.73, 2 Pr 3.93-4.06
Pr: 0.5000 0.5000 0.2975  8 Ac 3.70-3.83, 1 Pr 3.93, 1 Cd 4.05
Pr: 0.5000 0.5000 0.7025  8 Ac 3.70-3.83, 1 Pr 3.93, 1 Cd 4.05
Pr: 0.5000 0.5000 0.8986  8 Ac 3.68-3.73, 2 Pr 3.93-4.06
Cd: 0.5000 0.5000 0.5000  8 Ac 3.63, 2 Pr 4.05

Computed properties:
The calculation puts the total energy at -4.0233 eV/atom. The total magnetization is 0.00 μB/cell. Its formation energy from the elements is 0.03 eV per atom. Its space-group type is P4/mmm.

---

8.
Entry from Alexandria via LeMat-Bulk: crystalline TlTeIr2 at its relaxed geometry (GGA-PBE).

Cell lengths 8.8419, 3.1487, 6.5642 Å; angles 90.00, 98.97, 90.00 degrees
With the nearest neighbours (Å) after each atom.
Element x y z (fractional)
Tl: 0.0000 0.0000 0.0000  5 Ir 2.80-3.12
Tl: 0.5000 0.5000 0.0000  5 Ir 2.80-3.12
Te: 0.2188 0.0000 0.5536  5 Ir 2.63-2.77
Te: 0.7188 0.5000 0.5536  5 Ir 2.63-2.77
Ir: 0.2498 0.5000 0.2146  2 Te 2.77, 3 Ir 2.78-2.80, 3 Tl 2.80-2.89
Ir: 0.4891 0.0000 0.4075  3 Te 2.63-2.71, 3 Ir 2.78-2.80
Ir: 0.7498 0.0000 0.2146  2 Te 2.77, 3 Ir 2.78-2.80, 3 Tl 2.80-2.89
Ir: 0.9891 0.5000 0.4075  3 Te 2.63-2.71, 3 Ir 2.78-2.80

Computed properties:
Its uncorrected formation energy is 0.431 eV per atom. The calculation puts the total energy at -5.3765 eV/atom. The total magnetization is 0.00 μB/cell. Its excess energy over the best structure of this formula in the dataset is 47 meV per atom. Its space-group type is Cm.

---

9.
Entry from Alexandria via LeMat-Bulk: crystalline AlInNi at its relaxed geometry (GGA-PBE).

Cell lengths 4.2048, 4.2048, 3.3297 Å; angles 90.00, 90.00, 120.00 degrees
With the nearest neighbours (Å) after each atom.
Element x y z (fractional)
Al: 0.0000 0.0000 0.0000  3 Ni 2.43
In: 0.6667 0.3333 0.5001  6 Ni 2.94-2.95, 6 Al 2.94
Ni: 0.3333 0.6667 0.9966  3 Al 2.43

Computed properties:
The calculation puts the total energy at -4.0950 eV/atom. The total magnetization is 0.00 μB/cell. Its formation energy from the elements is -0.01 eV per atom. Its space-group type is P3m1.

---

10.
Entry from Alexandria via LeMat-Bulk: crystalline La2YMo2 at its relaxed geometry (GGA-PBE).

Cell lengths 4.6374, 4.6374, 12.5923 Å; angles 90.00, 90.00, 90.00 degrees
With the nearest neighbours (Å) after each atom.
Element x y z (fractional)
La: 0.0000 0.5000 0.2500  4 Mo 3.07, 4 La 3.28
La: 0.0000 0.5000 0.7500  4 Mo 3.07, 4 La 3.28
La: 0.5000 0.0000 0.2500  4 Mo 3.07, 4 La 3.28
La: 0.5000 0.0000 0.7500  4 Mo 3.07, 4 La 3.28
Y: 0.0000 0.0000 0.0000  8 Mo 3.47
Y: 0.5000 0.5000 0.5000  8 Mo 3.47
Mo: 0.0000 0.0000 0.4102  1 Mo 2.26
Mo: 0.0000 0.0000 0.5898  1 Mo 2.26
Mo: 0.5000 0.5000 0.0898  1 Mo 2.26
Mo: 0.5000 0.5000 0.9102  1 Mo 2.26

Computed properties:
The calculation puts the total energy at -7.0023 eV/atom. The total magnetization is 0.00 μB/cell. Its formation energy from the elements is 0.59 eV per atom. Its excess energy over the best structure of this formula in the dataset is 183 meV per atom. Its space-group type is I4/mmm.

---

11.
Entry from Alexandria via LeMat-Bulk: crystalline Er4Cd2InAg at its relaxed geometry (GGA-PBE).

Cell lengths 9.0386, 9.0386, 9.0386 Å; angles 33.57, 33.57, 33.57 degrees
With the nearest neighbours (Å) after each atom.
Element x y z (fractional)
Er: 0.1223 0.1223 0.1223  1 Ag 3.13, 4 Cd 3.17-3.24, 3 In 3.22
Er: 0.3727 0.3727 0.3727  4 Cd 3.16-3.23, 3 Ag 3.18, 1 In 3.25
Er: 0.6273 0.6273 0.6273  4 Cd 3.16-3.23, 3 Ag 3.18, 1 In 3.25
Er: 0.8777 0.8777 0.8777  1 Ag 3.13, 4 Cd 3.17-3.24, 3 In 3.22
Cd: 0.2489 0.2489 0.2489  8 Er 3.16-3.24
Cd: 0.7511 0.7511 0.7511  8 Er 3.16-3.24
In: 0.5000 0.5000 0.5000  8 Er 3.22-3.25
Ag: 0.0000 0.0000 0.0000  8 Er 3.13-3.18

Computed properties:
The calculation puts the total energy at -3.5591 eV/atom. The total magnetization is 0.00 μB/cell. Its formation energy from the elements is -0.35 eV per atom. Its space-group type is R-3m.